Computed, not measured: a geometry-optimized In4Hg4Bi structure at the PBE level of DFT.

CIF file:
```
data_In4Hg4Bi
_cell_length_a 9.934
_cell_length_b 5.192
_cell_length_c 11.028
_cell_angle_alpha 90.00
_cell_angle_beta 114.80
_cell_angle_gamma 90.00
_space_group_name_H-M_alt 'C 1 2/m 1'
_space_group_IT_number 12
_space_group_name_Hall '-C 2y'
loop_
_atom_site_label
_atom_site_type_symbol
_atom_site_fract_x
_atom_site_fract_y
_atom_site_fract_z
_atom_site_occupancy
In1 In 0.153 0.000 0.327 1
In2 In 0.220 0.500 0.092 1
Hg1 Hg 0.054 0.500 0.744 1
Hg2 Hg 0.159 0.000 0.603 1
Bi1 Bi 0.000 0.000 0.000 1
```

N(E_F) ... 6.1 states/eV/cell
Calculated total energy ... -31.82 eV per cell
Density ... 9.5 g/cm³
Magnetization ... 0.000 μB/f.u.

Computed, not measured: a geometry-optimized PrHo3Ru2 structure at the PBE level of DFT.

CIF file:
```
data_PrHo3Ru2
_cell_length_a 6.7622
_cell_length_b 6.7622
_cell_length_c 3.9462
_cell_angle_alpha 90.00
_cell_angle_beta 90.00
_cell_angle_gamma 120.00
_space_group_name_H-M_alt 'P 6/m m m'
_space_group_IT_number 191
_space_group_name_Hall '-P 6 2'
loop_
_atom_site_label
_atom_site_type_symbol
_atom_site_fract_x
_atom_site_fract_y
_atom_site_fract_z
_atom_site_occupancy
Pr1 Pr 0.0000 0.0000 0.0000 1
Ho1 Ho 0.0000 0.5000 0.5000 1
Ru1 Ru 0.3333 0.6667 0.0000 1
```

Energy relative to the lowest polymorph listed for this composition ... 129 meV/atom
N(E_F) ... 4.5 states/eV/cell
Calculated total energy ... -38.10 eV per cell
Density ... 8.9 g/cm³
Magnetization ... 0.000 μB/f.u.

Computed, not measured: a geometry-optimized Tc2AgMo structure at the PBE level of DFT.

CIF file:
```
data_Tc2AgMo
_cell_length_a 3.190
_cell_length_b 4.429
_cell_length_c 8.927
_cell_angle_alpha 90.00
_cell_angle_beta 90.00
_cell_angle_gamma 90.00
_space_group_name_H-M_alt 'I m m 2'
_space_group_IT_number 44
_space_group_name_Hall 'I 2 -2'
loop_
_atom_site_label
_atom_site_type_symbol
_atom_site_fract_x
_atom_site_fract_y
_atom_site_fract_z
_atom_site_occupancy
Tc1 Tc 0.000 0.000 0.000 1
Tc2 Tc 0.000 0.500 0.267 1
Ag1 Ag 0.000 0.500 0.772 1
Mo1 Mo 0.000 0.000 0.541 1
```

Energy relative to the lowest polymorph listed for this composition ... 209 meV/atom
N(E_F) ... 9.6 states/eV/cell
Calculated total energy ... -64.99 eV per cell
Density ... 10.5 g/cm³
Magnetization ... 0.000 μB/f.u.

Computed, not measured: a geometry-optimized Ho5Mg2Tl2 structure at the PBE level of DFT.

CIF file:
```
data_Ho5Mg2Tl2
_cell_length_a 16.589
_cell_length_b 8.574
_cell_length_c 7.369
_cell_angle_alpha 90.00
_cell_angle_beta 90.00
_cell_angle_gamma 90.00
_space_group_name_H-M_alt 'C m c e'
_space_group_IT_number 64
_space_group_name_Hall '-C 2ac 2'
loop_
_atom_site_label
_atom_site_type_symbol
_atom_site_fract_x
_atom_site_fract_y
_atom_site_fract_z
_atom_site_occupancy
Ho1 Ho 0.000 0.000 0.000 1
Ho2 Ho 0.145 0.185 0.338 1
Mg1 Mg 0.000 0.136 0.613 1
Tl1 Tl 0.207 0.000 0.000 1
```

N(E_F) ... 36.5 states/eV/cell
Calculated total energy ... -125.70 eV per cell
Density ... 8.1 g/cm³
Magnetization ... 0.000 μB/f.u.